1.
This record from the Alexandria database describes an optimized crystal structure of Dy4S5Cl. The functional is GGA-PBE.

Cell and atoms, written as CIF:
```
data_Dy4S5Cl
_chemical_formula_sum 'Dy8 S10 Cl2'
_cell_length_a 8.343
_cell_length_b 9.433
_cell_length_c 6.704
_cell_angle_alpha 90.00
_cell_angle_beta 90.00
_cell_angle_gamma 90.00
_symmetry_space_group_name_H-M 'P 1'
_symmetry_Int_Tables_number 1
loop_
_symmetry_equiv_pos_as_xyz
'x,y,z'
loop_
_atom_site_label
_atom_site_type_symbol
_atom_site_fract_x
_atom_site_fract_y
_atom_site_fract_z
Dy1 Dy 0.029 0.250 0.035
Dy2 Dy 0.250 0.010 0.515
Dy3 Dy 0.250 0.490 0.515
Dy4 Dy 0.471 0.250 0.035
Dy5 Dy 0.529 0.750 0.965
Dy6 Dy 0.750 0.510 0.485
Dy7 Dy 0.750 0.990 0.485
Dy8 Dy 0.971 0.750 0.965
S1 S 0.010 0.550 0.244
S2 S 0.010 0.950 0.244
S3 S 0.250 0.250 0.322
S4 S 0.490 0.550 0.244
S5 S 0.490 0.950 0.244
S6 S 0.510 0.050 0.756
S7 S 0.510 0.450 0.756
S8 S 0.750 0.750 0.678
S9 S 0.990 0.050 0.756
S10 S 0.990 0.450 0.756
Cl1 Cl 0.250 0.750 0.722
Cl2 Cl 0.750 0.250 0.278
```

* density of states at the Fermi level: 1.19 states/eV/cell
* total magnetization: 2.01 μB/cell
* formation energy from raw total energies: -1.87 eV/atom
* calculated total energy: -119.11 eV/cell
* space group: Pmmn (59)

2.
This record from the Alexandria database describes an optimized crystal structure of Ti2NiAgH. The functional is GGA-PBE.

Cell and atoms, written as CIF:
```
data_Ti2NiAgH
_chemical_formula_sum 'Ti2 Ni1 Ag1 H1'
_cell_length_a 4.055
_cell_length_b 4.055
_cell_length_c 3.837
_cell_angle_alpha 90.00
_cell_angle_beta 90.00
_cell_angle_gamma 90.00
_symmetry_space_group_name_H-M 'P 1'
_symmetry_Int_Tables_number 1
loop_
_symmetry_equiv_pos_as_xyz
'x,y,z'
loop_
_atom_site_label
_atom_site_type_symbol
_atom_site_fract_x
_atom_site_fract_y
_atom_site_fract_z
Ti1 Ti 0.000 0.500 0.000
Ti2 Ti 0.500 0.000 0.000
Ni1 Ni 0.000 0.000 0.500
Ag1 Ag 0.500 0.500 0.500
H1 H 0.000 0.000 0.000
```

* density of states at the Fermi level: 5.15 states/eV/cell
* total magnetization: 0.87 μB/cell
* calculated total energy: -28.46 eV/cell
* space group: P4/mmm (123)

3.
This record from the Alexandria database describes an optimized crystal structure of Ho3PbCO. The functional is GGA-PBE.

Cell and atoms, written as CIF:
```
data_Ho3PbCO
_chemical_formula_sum 'Ho6 Pb2 C2 O2'
_cell_length_a 8.716
_cell_length_b 3.712
_cell_length_c 8.977
_cell_angle_alpha 90.00
_cell_angle_beta 110.96
_cell_angle_gamma 90.00
_symmetry_space_group_name_H-M 'P 1'
_symmetry_Int_Tables_number 1
loop_
_symmetry_equiv_pos_as_xyz
'x,y,z'
loop_
_atom_site_label
_atom_site_type_symbol
_atom_site_fract_x
_atom_site_fract_y
_atom_site_fract_z
Ho1 Ho 0.027 0.250 0.355
Ho2 Ho 0.318 0.250 0.950
Ho3 Ho 0.361 0.750 0.637
Ho4 Ho 0.639 0.250 0.363
Ho5 Ho 0.682 0.750 0.050
Ho6 Ho 0.973 0.750 0.645
Pb1 Pb 0.273 0.750 0.242
Pb2 Pb 0.727 0.250 0.758
C1 C 0.168 0.250 0.638
C2 C 0.832 0.750 0.362
O1 O 0.415 0.750 0.892
O2 O 0.585 0.250 0.108
```

* density of states at the Fermi level: 3.52 states/eV/cell
* total magnetization: 0.00 μB/cell
* formation energy from raw total energies: -1.29 eV/atom
* calculated total energy: -78.73 eV/cell
* space group: P2_1/m (11)

4.
This record from the Alexandria database describes an optimized crystal structure of Ta2MnTc. The functional is GGA-PBE.

Cell and atoms, written as CIF:
```
data_Ta2MnTc
_chemical_formula_sum 'Ta2 Mn1 Tc1'
_cell_length_a 3.162
_cell_length_b 3.162
_cell_length_c 6.276
_cell_angle_alpha 90.00
_cell_angle_beta 90.00
_cell_angle_gamma 90.00
_symmetry_space_group_name_H-M 'P 1'
_symmetry_Int_Tables_number 1
loop_
_symmetry_equiv_pos_as_xyz
'x,y,z'
loop_
_atom_site_label
_atom_site_type_symbol
_atom_site_fract_x
_atom_site_fract_y
_atom_site_fract_z
Ta1 Ta 0.000 0.000 0.000
Ta2 Ta 0.500 0.500 0.283
Mn1 Mn 0.500 0.500 0.767
Tc1 Tc 0.000 0.000 0.524
```

* DFT formation energy: -0.0859 eV/atom
* density of states at the Fermi level: 4.05 states/eV/cell
* total magnetization: 1.45 μB/cell
* calculated total energy: -43.58 eV/cell
* space group: P4mm (99)

5.
This record from the Alexandria database describes an optimized crystal structure of Li2CoBr. The functional is GGA-PBE.

Cell and atoms, written as CIF:
```
data_Li2CoBr
_chemical_formula_sum 'Li2 Co1 Br1'
_cell_length_a 5.635
_cell_length_b 5.635
_cell_length_c 5.635
_cell_angle_alpha 141.80
_cell_angle_beta 141.80
_cell_angle_gamma 55.13
_symmetry_space_group_name_H-M 'P 1'
_symmetry_Int_Tables_number 1
loop_
_symmetry_equiv_pos_as_xyz
'x,y,z'
loop_
_atom_site_label
_atom_site_type_symbol
_atom_site_fract_x
_atom_site_fract_y
_atom_site_fract_z
Li1 Li 0.000 0.000 0.000
Li2 Li 0.750 0.250 0.500
Co1 Co 0.500 0.500 0.000
Br1 Br 0.250 0.750 0.500
```

* density of states at the Fermi level: 4.25 states/eV/cell
* total magnetization: 1.80 μB/cell
* formation energy from raw total energies: 0.05 eV/atom
* ΔE to the lowest computed polymorph: 0.184 eV/atom
* calculated total energy: -12.41 eV/cell
* space group: I-4m2 (119)

6.
This record from the Alexandria database describes an optimized crystal structure of Mn6Ru7. The functional is GGA-PBE.

Cell and atoms, written as CIF:
```
data_Mn6Ru7
_chemical_formula_sum 'Mn6 Ru7'
_cell_length_a 8.970
_cell_length_b 8.970
_cell_length_c 8.970
_cell_angle_alpha 32.64
_cell_angle_beta 32.64
_cell_angle_gamma 32.64
_symmetry_space_group_name_H-M 'P 1'
_symmetry_Int_Tables_number 1
loop_
_symmetry_equiv_pos_as_xyz
'x,y,z'
loop_
_atom_site_label
_atom_site_type_symbol
_atom_site_fract_x
_atom_site_fract_y
_atom_site_fract_z
Mn1 Mn 0.041 0.041 0.041
Mn2 Mn 0.150 0.150 0.150
Mn3 Mn 0.337 0.337 0.337
Mn4 Mn 0.663 0.663 0.663
Mn5 Mn 0.850 0.850 0.850
Mn6 Mn 0.959 0.959 0.959
Ru1 Ru 0.078 0.588 0.588
Ru2 Ru 0.412 0.412 0.922
Ru3 Ru 0.412 0.922 0.412
Ru4 Ru 0.500 0.500 0.500
Ru5 Ru 0.588 0.078 0.588
Ru6 Ru 0.588 0.588 0.078
Ru7 Ru 0.922 0.412 0.412
```

* DFT formation energy: 0.3300 eV/atom
* density of states at the Fermi level: 16.91 states/eV/cell
* total magnetization: 12.54 μB/cell
* calculated total energy: -115.66 eV/cell
* space group: R-3m (166)

7.
This record from the Alexandria database describes an optimized crystal structure of LiZrTc2. The functional is GGA-PBE.

Cell and atoms, written as CIF:
```
data_LiZrTc2
_chemical_formula_sum 'Li1 Zr1 Tc2'
_cell_length_a 9.979
_cell_length_b 9.979
_cell_length_c 9.979
_cell_angle_alpha 16.24
_cell_angle_beta 16.24
_cell_angle_gamma 16.24
_symmetry_space_group_name_H-M 'P 1'
_symmetry_Int_Tables_number 1
loop_
_symmetry_equiv_pos_as_xyz
'x,y,z'
loop_
_atom_site_label
_atom_site_type_symbol
_atom_site_fract_x
_atom_site_fract_y
_atom_site_fract_z
Li1 Li 0.000 0.000 0.000
Zr1 Zr 0.238 0.238 0.238
Tc1 Tc 0.482 0.482 0.482
Tc2 Tc 0.747 0.747 0.747
```

* DFT formation energy: 0.1865 eV/atom
* density of states at the Fermi level: 1.53 states/eV/cell
* total magnetization: 0.00 μB/cell
* ΔE to the lowest computed polymorph: 0.130 eV/atom
* calculated total energy: -30.45 eV/cell
* space group: R3m (160)

8.
This record from the Alexandria database describes an optimized crystal structure of In2PtSe. The functional is GGA-PBE.

Cell and atoms, written as CIF:
```
data_In2PtSe
_chemical_formula_sum 'In2 Pt1 Se1'
_cell_length_a 3.327
_cell_length_b 3.327
_cell_length_c 8.029
_cell_angle_alpha 90.00
_cell_angle_beta 90.00
_cell_angle_gamma 90.00
_symmetry_space_group_name_H-M 'P 1'
_symmetry_Int_Tables_number 1
loop_
_symmetry_equiv_pos_as_xyz
'x,y,z'
loop_
_atom_site_label
_atom_site_type_symbol
_atom_site_fract_x
_atom_site_fract_y
_atom_site_fract_z
In1 In 0.000 0.000 0.000
In2 In 0.500 0.500 0.324
Pt1 Pt 0.000 0.000 0.527
Se1 Se 0.500 0.500 0.719
```

* density of states at the Fermi level: 2.92 states/eV/cell
* total magnetization: 0.00 μB/cell
* formation energy from raw total energies: -0.01 eV/atom
* calculated total energy: -15.04 eV/cell
* space group: P4mm (99)

9.
This record from the Alexandria database describes an optimized crystal structure of CuSbPb. The functional is GGA-PBE.

Cell and atoms, written as CIF:
```
data_CuSbPb
_chemical_formula_sum 'Cu4 Sb4 Pb4'
_cell_length_a 8.931
_cell_length_b 4.458
_cell_length_c 7.712
_cell_angle_alpha 90.00
_cell_angle_beta 90.00
_cell_angle_gamma 90.00
_symmetry_space_group_name_H-M 'P 1'
_symmetry_Int_Tables_number 1
loop_
_symmetry_equiv_pos_as_xyz
'x,y,z'
loop_
_atom_site_label
_atom_site_type_symbol
_atom_site_fract_x
_atom_site_fract_y
_atom_site_fract_z
Cu1 Cu 0.246 0.250 0.083
Cu2 Cu 0.254 0.750 0.583
Cu3 Cu 0.746 0.250 0.417
Cu4 Cu 0.754 0.750 0.917
Sb1 Sb 0.246 0.250 0.417
Sb2 Sb 0.254 0.750 0.917
Sb3 Sb 0.746 0.250 0.083
Sb4 Sb 0.754 0.750 0.583
Pb1 Pb 0.003 0.250 0.756
Pb2 Pb 0.497 0.750 0.256
Pb3 Pb 0.503 0.250 0.744
Pb4 Pb 0.997 0.750 0.244
```

* density of states at the Fermi level: 2.81 states/eV/cell
* total magnetization: 0.00 μB/cell
* formation energy from raw total energies: 0.06 eV/atom
* ΔE to the lowest computed polymorph: 0.013 eV/atom
* calculated total energy: -47.05 eV/cell
* space group: Pnma (62)

10.
This record from the Alexandria database describes an optimized crystal structure of MgOsO2F. The functional is GGA-PBE.

Cell and atoms, written as CIF:
```
data_MgOsO2F
_chemical_formula_sum 'Mg1 Os1 O2 F1'
_cell_length_a 3.970
_cell_length_b 3.970
_cell_length_c 3.617
_cell_angle_alpha 90.00
_cell_angle_beta 90.00
_cell_angle_gamma 90.00
_symmetry_space_group_name_H-M 'P 1'
_symmetry_Int_Tables_number 1
loop_
_symmetry_equiv_pos_as_xyz
'x,y,z'
loop_
_atom_site_label
_atom_site_type_symbol
_atom_site_fract_x
_atom_site_fract_y
_atom_site_fract_z
Mg1 Mg 0.000 0.000 0.000
Os1 Os 0.500 0.500 0.500
O1 O 0.000 0.500 0.000
O2 O 0.500 0.000 0.000
F1 F 0.000 0.000 0.500
```

* density of states at the Fermi level: 3.19 states/eV/cell
* total magnetization: 4.29 μB/cell
* formation energy from raw total energies: -0.51 eV/atom
* calculated total energy: -27.16 eV/cell
* space group: P4/mmm (123)

11.
This record from the Alexandria database describes an optimized crystal structure of Cs3RbPd. The functional is GGA-PBE.

Cell and atoms, written as CIF:
```
data_Cs3RbPd
_chemical_formula_sum 'Cs3 Rb1 Pd1'
_cell_length_a 7.145
_cell_length_b 7.145
_cell_length_c 7.145
_cell_angle_alpha 90.00
_cell_angle_beta 90.00
_cell_angle_gamma 90.00
_symmetry_space_group_name_H-M 'P 1'
_symmetry_Int_Tables_number 1
loop_
_symmetry_equiv_pos_as_xyz
'x,y,z'
loop_
_atom_site_label
_atom_site_type_symbol
_atom_site_fract_x
_atom_site_fract_y
_atom_site_fract_z
Cs1 Cs 0.000 0.000 0.500
Cs2 Cs 0.000 0.500 0.000
Cs3 Cs 0.500 0.000 0.000
Rb1 Rb 0.500 0.500 0.500
Pd1 Pd 0.000 0.000 0.000
```

* DFT formation energy: 0.0683 eV/atom
* density of states at the Fermi level: 0.12 states/eV/cell
* total magnetization: 0.00 μB/cell
* calculated total energy: -8.38 eV/cell
* space group: Pm-3m (221)

12.
This record from the Alexandria database describes an optimized crystal structure of CsHO2. The functional is GGA-PBE.

Cell and atoms, written as CIF:
```
data_CsHO2
_chemical_formula_sum 'Cs2 H2 O4'
_cell_length_a 5.411
_cell_length_b 5.411
_cell_length_c 5.411
_cell_angle_alpha 120.11
_cell_angle_beta 120.11
_cell_angle_gamma 89.81
_symmetry_space_group_name_H-M 'P 1'
_symmetry_Int_Tables_number 1
loop_
_symmetry_equiv_pos_as_xyz
'x,y,z'
loop_
_atom_site_label
_atom_site_type_symbol
_atom_site_fract_x
_atom_site_fract_y
_atom_site_fract_z
Cs1 Cs 0.375 0.625 0.750
Cs2 Cs 0.625 0.375 0.250
H1 H 0.125 0.875 0.250
H2 H 0.875 0.125 0.750
O1 O 0.000 0.000 0.000
O2 O 0.000 0.000 0.500
O3 O 0.000 0.500 0.000
O4 O 0.500 0.000 0.500
```

* density of states at the Fermi level: 4.00 states/eV/cell
* total magnetization: 4.00 μB/cell
* ΔE to the lowest computed polymorph: 0.890 eV/atom
* calculated total energy: -28.03 eV/cell
* space group: I4_1/amd (141)

13.
This record from the Alexandria database describes an optimized crystal structure of CaCd2. The functional is GGA-PBE.

Cell and atoms, written as CIF:
```
data_CaCd2
_chemical_formula_sum 'Ca2 Cd4'
_cell_length_a 6.028
_cell_length_b 6.028
_cell_length_c 6.028
_cell_angle_alpha 60.00
_cell_angle_beta 60.00
_cell_angle_gamma 60.00
_symmetry_space_group_name_H-M 'P 1'
_symmetry_Int_Tables_number 1
loop_
_symmetry_equiv_pos_as_xyz
'x,y,z'
loop_
_atom_site_label
_atom_site_type_symbol
_atom_site_fract_x
_atom_site_fract_y
_atom_site_fract_z
Ca1 Ca 0.125 0.125 0.125
Ca2 Ca 0.875 0.875 0.875
Cd1 Cd 0.000 0.500 0.500
Cd2 Cd 0.500 0.000 0.500
Cd3 Cd 0.500 0.500 0.000
Cd4 Cd 0.500 0.500 0.500
```

* DFT formation energy: -0.3102 eV/atom
* density of states at the Fermi level: 3.87 states/eV/cell
* total magnetization: 0.00 μB/cell
* calculated total energy: -9.52 eV/cell
* space group: Fd-3m (227)